Record 1
A geometry-optimized TaRuI2N structure. Source: the Alexandria database, functional GGA-PBE.

a b c (Å): 5.656 5.656 3.879
angles (deg): 90.00 90.00 90.00
Space group P4/mmm (No. 123)
Asymmetric unit:
Ta  0.000  0.000  0.000 x1
Ru  0.500  0.500  0.500 x1
I  0.000  0.500  0.000 x2
N  0.000  0.000  0.500 x1

## Properties
Its uncorrected formation energy is 0.87 eV/atom. Its volume is 24.8 Å³ per atom. Its crystal system is tetragonal. For the total magnetization, the calculation gives 0.572 μB/atom. The energy above the most stable polymorph in this dataset comes out at 0 meV/atom.



Record 2
A geometry-optimized DyPd6Pt4 structure. Source: the Alexandria database, functional GGA-PBE.

a b c (Å): 4.575 5.548 14.812
angles (deg): 90.00 90.00 90.00
Space group Amm2 (No. 38)
Asymmetric unit:
Dy  0.000  0.000  0.000 x2
Pd  0.000  0.000  0.458 x2
Pd  0.000  0.247  0.294 x4
Pd  0.500  0.000  0.743 x2
Pd  0.500  0.250  0.085 x4
Pt  0.000  0.000  0.637 x2
Pt  0.500  0.000  0.242 x2
Pt  0.500  0.249  0.403 x4

## Properties
Its volume is 17.1 Å³ per atom. Its crystal system is orthorhombic. The value obtained for the formation energy is -0.239 eV/atom. For the total magnetization, the calculation gives 0.000 μB/atom.



Record 3
A geometry-optimized HfNbTcIr structure. Source: the Alexandria database, functional GGA-PBE.

a b c (Å): 6.459 6.459 6.459
angles (deg): 90.00 90.00 90.00
Space group F-43m (No. 216)
Asymmetric unit:
Hf  0.000  0.000  0.000 x4
Nb  0.000  0.000  0.500 x4
Tc  0.250  0.250  0.750 x4
Ir  0.250  0.250  0.250 x4

## Properties
Its volume is 16.8 Å³ per atom. Its crystal system is cubic. The value obtained for the formation energy is -0.547 eV/atom. For the total magnetization, the calculation gives 0.000 μB/atom.



Record 4
A geometry-optimized La5Sb4C structure. Source: the Alexandria database, functional GGA-PBE.

a b c (Å): 9.940 9.940 6.497
angles (deg): 90.00 90.00 90.00
Space group I4 (No. 79)
Asymmetric unit:
La  0.000  0.000  0.000 x2
La  0.092  0.260  0.443 x8
Sb  0.085  0.309  0.939 x8
C  0.000  0.000  0.379 x2

## Properties
Its uncorrected formation energy is -0.87 eV/atom. Its volume is 32.1 Å³ per atom. Its crystal system is tetragonal. For the total magnetization, the calculation gives 0.000 μB/atom.



Record 5
A geometry-optimized CaPd2Au9 structure. Source: the Alexandria database, functional GGA-PBE.

a b c (Å): 11.314 11.314 7.332
angles (deg): 90.00 90.00 90.00
Space group I4_1/amd (No. 141, origin choice 2)
Asymmetric unit:
Ca  0.000  0.250  0.375 x4
Pd  0.000  0.000  0.000 x8
Au  0.000  0.250  0.875 x4
Au  0.121  0.048  0.677 x32

## Properties
Its volume is 19.6 Å³ per atom. Its crystal system is tetragonal. The value obtained for the formation energy is -0.199 eV/atom. For the total magnetization, the calculation gives 0.000 μB/atom.



Record 6
A geometry-optimized TbScAlZn structure. Source: the Alexandria database, functional GGA-PBE.

a b c (Å): 6.989 6.989 6.989
angles (deg): 90.00 90.00 90.00
Space group F-43m (No. 216)
Asymmetric unit:
Tb  0.000  0.000  0.000 x4
Sc  0.000  0.000  0.500 x4
Al  0.250  0.250  0.750 x4
Zn  0.250  0.250  0.250 x4

## Properties
Its volume is 21.3 Å³ per atom. Its crystal system is cubic. The value obtained for the formation energy is -0.382 eV/atom. For the total magnetization, the calculation gives 0.000 μB/atom.



Record 7
A geometry-optimized SrSbAs3 structure. Source: the Alexandria database, functional GGA-PBE.

a b c (Å): 5.325 5.325 5.325
angles (deg): 90.00 90.00 90.00
Space group Pm-3m (No. 221)
Asymmetric unit:
Sr  0.000  0.000  0.000 x1
Sb  0.500  0.500  0.500 x1
As  0.000  0.500  0.500 x3

## Properties
Its uncorrected formation energy is 0.14 eV/atom. Its volume is 30.2 Å³ per atom. Its crystal system is cubic. For the total magnetization, the calculation gives 0.000 μB/atom. The energy above the most stable polymorph in this dataset comes out at 0 meV/atom.



Record 8
A geometry-optimized AcAg2Pb structure. Source: the Alexandria database, functional GGA-PBE.

a b c (Å): 5.002 5.002 4.423
angles (deg): 90.00 90.00 90.00
Space group P4/mmm (No. 123)
Asymmetric unit:
Ac  0.000  0.000  0.000 x1
Ag  0.000  0.500  0.500 x2
Pb  0.500  0.500  0.000 x1

## Properties
Its volume is 27.7 Å³ per atom. Its crystal system is tetragonal. The value obtained for the formation energy is -0.153 eV/atom. For the total magnetization, the calculation gives 0.000 μB/atom.



Record 9
A geometry-optimized Pr5Sm6Pu structure. Source: the Alexandria database, functional GGA-PBE.

a b c (Å): 6.324 10.985 12.022
angles (deg): 90.00 100.28 90.00
Space group C2/m (No. 12)
Asymmetric unit:
Pr  0.000  0.000  0.000 x2
Pr  0.000  0.167  0.500 x4
Pr  0.000  0.334  0.000 x4
Sm  0.246  0.336  0.747 x8
Sm  0.246  0.500  0.253 x4
Pu  0.000  0.500  0.500 x2

## Properties
Its volume is 34.2 Å³ per atom. Its crystal system is monoclinic. The value obtained for the formation energy is 0.052 eV/atom. For the total magnetization, the calculation gives 0.553 μB/atom.



Record 10
A geometry-optimized As2IrSeF structure. Source: the Alexandria database, functional GGA-PBE.

a b c (Å): 4.745 4.745 5.194
angles (deg): 90.00 90.00 90.00
Space group P4/mmm (No. 123)
Asymmetric unit:
As  0.000  0.500  0.000 x2
Ir  0.000  0.000  0.000 x1
Se  0.000  0.000  0.500 x1
F  0.500  0.500  0.500 x1

## Properties
Its uncorrected formation energy is 0.39 eV/atom. Its volume is 23.4 Å³ per atom. Its crystal system is tetragonal. For the total magnetization, the calculation gives 0.367 μB/atom. The energy above the most stable polymorph in this dataset comes out at 0 meV/atom.



Record 11
A geometry-optimized Ac3Cd12Bi5 structure. Source: the Alexandria database, functional GGA-PBE.

a b c (Å): 18.239 18.239 18.239
angles (deg): 90.00 90.00 90.00
Space group Ia-3d (No. 230)
Asymmetric unit:
Ac  0.000  0.250  0.125 x24
Cd  0.025  0.072  0.648 x96
Bi  0.000  0.000  0.000 x16
Bi  0.000  0.250  0.375 x24

## Properties
Its volume is 37.9 Å³ per atom. Its crystal system is cubic. The value obtained for the formation energy is 0.172 eV/atom. For the total magnetization, the calculation gives 0.000 μB/atom.



Record 12
A geometry-optimized LiNd2Ag2 structure. Source: the Alexandria database, functional GGA-PBE.

a b c (Å): 8.046 8.046 4.102
angles (deg): 90.00 90.00 90.00
Space group P4/mbm (No. 127)
Asymmetric unit:
Li  0.000  0.000  0.000 x2
Nd  0.169  0.331  0.500 x4
Ag  0.129  0.629  0.000 x4

## Properties
Its volume is 26.6 Å³ per atom. Its crystal system is tetragonal. The value obtained for the formation energy is -0.168 eV/atom. For the total magnetization, the calculation gives 0.000 μB/atom. The energy above the most stable polymorph in this dataset comes out at 0 meV/atom.



Record 13
A geometry-optimized Ho11Ag9Au4 structure. Source: the Alexandria database, functional GGA-PBE.

a b c (Å): 14.313 21.631 3.625
angles (deg): 90.00 90.00 90.00
Space group Cmmm (No. 65)
Asymmetric unit:
Ho  0.000  0.000  0.000 x2
Ho  0.000  0.167  0.000 x4
Ho  0.000  0.354  0.000 x4
Ho  0.226  0.500  0.000 x4
Ho  0.242  0.171  0.000 x8
Ag  0.000  0.500  0.500 x2
Ag  0.111  0.258  0.500 x8
Ag  0.130  0.078  0.500 x8
Au  0.147  0.404  0.500 x8

## Properties
Its volume is 23.4 Å³ per atom. Its crystal system is orthorhombic. The value obtained for the formation energy is -0.481 eV/atom. For the total magnetization, the calculation gives 0.000 μB/atom.



Record 14
A geometry-optimized PuSI structure. Source: the Alexandria database, functional GGA-PBE.

a b c (Å): 4.271 5.324 10.138
angles (deg): 90.00 90.00 90.00
Space group Pmmn (No. 59, origin choice 2)
Asymmetric unit:
Pu  0.250  0.250  0.114 x2
S  0.250  0.750  0.057 x2
I  0.250  0.750  0.664 x2

## Properties
Its uncorrected formation energy is -1.46 eV/atom. Its volume is 38.4 Å³ per atom. Its crystal system is orthorhombic. For the total magnetization, the calculation gives 1.667 μB/atom. The energy above the most stable polymorph in this dataset comes out at 0 meV/atom.



Record 15
A geometry-optimized KTa2In structure. Source: the Alexandria database, functional GGA-PBE.

a b c (Å): 4.234 4.234 10.014
angles (deg): 90.00 90.00 90.00
Space group I4/mmm (No. 139)
Asymmetric unit:
K  0.000  0.000  0.000 x2
Ta  0.000  0.500  0.250 x4
In  0.000  0.000  0.500 x2

## Properties
Its volume is 22.4 Å³ per atom. Its crystal system is tetragonal. The value obtained for the formation energy is 1.271 eV/atom. For the total magnetization, the calculation gives 0.000 μB/atom.



Record 16
A geometry-optimized Pr3Sm2Co2 structure. Source: the Alexandria database, functional GGA-PBE.

a b c (Å): 12.327 3.818 9.119
angles (deg): 90.00 115.50 90.00
Space group C2/m (No. 12)
Asymmetric unit:
Pr  0.000  0.000  0.000 x2
Pr  0.115  0.000  0.423 x4
Sm  0.176  0.500  0.808 x4
Co  0.183  0.500  0.246 x4

## Properties
Its volume is 27.7 Å³ per atom. Its crystal system is monoclinic. The value obtained for the formation energy is -0.048 eV/atom. For the total magnetization, the calculation gives 0.000 μB/atom.



Record 17
A geometry-optimized Sm2Ho4Sc structure. Source: the Alexandria database, functional GGA-PBE.

a b c (Å): 3.5484 3.5484 59.4211
angles (deg): 90.00 90.00 120.00
Space group R-3m (No. 166, hexagonal axes)
Asymmetric unit:
Sm  0.0000  0.0000  0.1918 x6
Ho  0.0000  0.0000  0.0926 x6
Ho  0.0000  0.0000  0.3782 x6
Sc  0.0000  0.0000  0.0000 x3

## Properties
Its volume is 30.9 Å³ per atom. Its crystal system is trigonal. The value obtained for the formation energy is 0.027 eV/atom. For the total magnetization, the calculation gives 0.000 μB/atom. The energy above the most stable polymorph in this dataset comes out at 0 meV/atom.



Record 18
A geometry-optimized Re2IrRu structure. Source: the Alexandria database, functional GGA-PBE.

a b c (Å): 2.7469 2.7469 26.8278
angles (deg): 90.00 90.00 120.00
Space group R3m (No. 160, hexagonal axes)
Asymmetric unit:
Re  0.0000  0.0000  0.0000 x3
Re  0.0000  0.0000  0.2481 x3
Ir  0.0000  0.0000  0.7491 x3
Ru  0.0000  0.0000  0.4998 x3

## Properties
Its volume is 14.6 Å³ per atom. Its crystal system is trigonal. The value obtained for the formation energy is -0.005 eV/atom. For the total magnetization, the calculation gives 0.000 μB/atom. The energy above the most stable polymorph in this dataset comes out at 206 meV/atom.



Record 19
A geometry-optimized BaSn4Se5 structure. Source: the Alexandria database, functional GGA-PBE.

a b c (Å): 4.368 6.214 21.994
angles (deg): 90.00 90.00 90.00
Space group Immm (No. 71)
Asymmetric unit:
Ba  0.000  0.000  0.000 x2
Sn  0.000  0.000  0.203 x4
Sn  0.000  0.000  0.397 x4
Se  0.000  0.500  0.000 x2
Se  0.000  0.500  0.197 x4
Se  0.000  0.500  0.390 x4

## Properties
Its uncorrected formation energy is -0.73 eV/atom. Its volume is 29.8 Å³ per atom. Its crystal system is orthorhombic. For the total magnetization, the calculation gives 0.000 μB/atom.



Record 20
A geometry-optimized Cs2KHg2 structure. Source: the Alexandria database, functional GGA-PBE.

a b c (Å): 6.137 6.137 15.097
angles (deg): 90.00 90.00 90.00
Space group I4/mmm (No. 139)
Asymmetric unit:
Cs  0.000  0.500  0.250 x4
K  0.000  0.000  0.000 x2
Hg  0.000  0.000  0.403 x4

## Properties
Its volume is 56.9 Å³ per atom. Its crystal system is tetragonal. The value obtained for the formation energy is -0.121 eV/atom. For the total magnetization, the calculation gives 0.000 μB/atom. The energy above the most stable polymorph in this dataset comes out at 79 meV/atom.